Record 1
A plane-wave DFT calculation with PBE was carried out for an optimized crystal structure of Y11Cd9Ag4.

Cell and atoms, written as POSCAR:
```
Y11Cd9Ag4
1.0
3.7433 0.0000 0.0000
0.0000 12.2481 -5.1564
0.0000 0.0718 13.2890
Y Cd Ag
11 9 4
direct
0.0000 0.5863 0.9299
0.0000 0.4137 0.0701
0.0000 0.9299 0.5863
0.0000 0.0701 0.4137
0.0000 0.6407 0.3593
0.0000 0.3593 0.6407
0.0000 0.8351 0.1649
0.0000 0.1649 0.8351
0.0000 0.0000 0.0000
0.0000 0.7177 0.7177
0.0000 0.2823 0.2823
0.5000 0.6320 0.1523
0.5000 0.3680 0.8477
0.5000 0.1523 0.6320
0.5000 0.8477 0.3680
0.5000 0.7886 0.9395
0.5000 0.2114 0.0605
0.5000 0.9395 0.7886
0.5000 0.0605 0.2114
0.5000 0.5000 0.5000
0.5000 0.5504 0.7436
0.5000 0.4496 0.2564
0.5000 0.7436 0.5504
0.5000 0.2564 0.4496
```

## Properties
Raw total energy   -4.114 eV/atom
Magnetic moment   0.00 μB per cell
V   25.444 A^3/atom

---

Record 2
A plane-wave DFT calculation with PBE was carried out for an optimized crystal structure of YCd6Ag4.

Cell and atoms, written as POSCAR:
```
YCd6Ag4
1.0
7.2255 -0.1852 -0.2723
-3.5049 6.3212 0.2723
-3.5049 -2.0708 5.9786
Y Cd Ag
1 6 4
direct
0.0000 0.0000 0.0000
0.0000 0.8846 0.5458
0.0000 0.5458 0.8846
0.6612 0.1154 0.1154
0.5000 0.0000 0.5000
0.3388 0.4542 0.4542
0.5000 0.5000 0.0000
0.0000 0.2555 0.6093
0.6462 0.3907 0.3907
0.0000 0.6093 0.2555
0.3538 0.7445 0.7445
```

## Properties
Raw total energy   -2.134 eV/atom
Energy relative to the lowest polymorph listed for this composition   74 meV/atom
Magnetic moment   0.00 μB per cell
V   24.130 A^3/atom

---

Record 3
A plane-wave DFT calculation with PBE was carried out for an optimized crystal structure of Y3Cd4Ag4.

Cell and atoms, written as POSCAR:
```
Y3Cd4Ag4
1.0
-2.0286 0.0604 2.7659
2.5887 -3.5034 1.9704
9.4382 8.7098 8.8710
Y Cd Ag
3 4 4
direct
0.1390 0.6405 0.7202
0.8610 0.3595 0.2798
0.0000 0.0000 0.0000
0.5915 0.0931 0.8148
0.2646 0.2644 0.4710
0.7355 0.7356 0.5290
0.4085 0.9069 0.1851
0.5451 0.5460 0.9087
0.4549 0.4540 0.0913
0.3165 0.8160 0.3675
0.6836 0.1840 0.6325
```

## Properties
Raw total energy   -3.384 eV/atom
Energy relative to the lowest polymorph listed for this composition   0 meV/atom
Magnetic moment   0.00 μB per cell
V   22.856 A^3/atom

---

Record 4
A plane-wave DFT calculation with PBE was carried out for an optimized crystal structure of YCd4Ag4.

Cell and atoms, written as POSCAR:
```
YCd4Ag4
1.0
6.2677 0.0000 0.0000
0.0000 6.2677 0.0000
0.0000 0.0000 10.0986
Y Cd Ag
2 8 8
direct
0.0000 0.0000 0.0000
0.5000 0.5000 0.5000
0.2206 0.5000 0.9274
0.7794 0.5000 0.9274
0.5000 0.7794 0.0726
0.5000 0.2206 0.0726
0.0000 0.7206 0.4274
0.0000 0.2794 0.4274
0.2794 0.0000 0.5726
0.7206 0.0000 0.5726
0.5000 0.7636 0.7751
0.5000 0.2364 0.7751
0.7636 0.5000 0.2249
0.2364 0.5000 0.2249
0.2636 0.0000 0.2751
0.7364 0.0000 0.2751
0.0000 0.2636 0.7249
0.0000 0.7364 0.7249
```

## Properties
Raw total energy   -2.434 eV/atom
Magnetic moment   0.00 μB per cell
V   22.040 A^3/atom

---

Record 5
A plane-wave DFT calculation with PBE was carried out for an optimized crystal structure of Y2Cd2Ag.

Cell and atoms, written as POSCAR:
```
Y2Cd2Ag
1.0
7.4918 0.0000 0.0000
0.0000 7.4918 0.0000
0.0000 0.0000 4.5617
Y Ag Cd
4 2 4
direct
0.1678 0.6678 0.5000
0.6678 0.8322 0.5000
0.8322 0.3322 0.5000
0.3322 0.1678 0.5000
0.0000 0.0000 0.0000
0.5000 0.5000 0.0000
0.3650 0.8650 0.0000
0.8650 0.6350 0.0000
0.6350 0.1350 0.0000
0.1350 0.3650 0.0000
```

## Properties
Raw total energy   -3.737 eV/atom
Energy relative to the lowest polymorph listed for this composition   11 meV/atom
Magnetic moment   0.00 μB per cell
V   25.603 A^3/atom

---

Record 6
A plane-wave DFT calculation with PBE was carried out for an optimized crystal structure of YCd6Ag2.

Cell and atoms, written as POSCAR:
```
YCd6Ag2
1.0
-1.7323 -0.7769 2.6662
3.8402 -7.3220 2.3943
6.1663 -0.1188 6.0045
Y Cd Ag
1 6 2
direct
0.0000 0.0000 0.0000
0.3238 0.9996 0.3515
0.6762 0.0004 0.6485
0.6762 0.6485 0.0004
0.5000 0.3313 0.6687
0.5000 0.6687 0.3313
0.3238 0.3515 0.9996
0.1479 0.3538 0.3538
0.8521 0.6462 0.6462
```

## Properties
Raw total energy   -2.050 eV/atom
Energy relative to the lowest polymorph listed for this composition   19 meV/atom
Magnetic moment   0.00 μB per cell
V   22.364 A^3/atom

---

Record 7
A plane-wave DFT calculation with PBE was carried out for an optimized crystal structure of YCd10Ag2.

Cell and atoms, written as POSCAR:
```
YCd10Ag2
1.0
-3.9130 -3.5160 2.4402
2.9175 -4.0784 5.6923
-3.6989 3.3318 5.7598
Y Cd Ag
1 10 2
direct
0.0000 0.0000 0.0000
0.3479 0.6454 0.6589
0.6521 0.3546 0.3411
0.9932 0.3546 0.6589
0.0068 0.6454 0.3411
0.0000 0.0000 0.5000
0.5000 0.0000 0.5000
0.2884 0.2150 0.2082
0.7116 0.7850 0.7917
0.5034 0.7850 0.2082
0.4966 0.2150 0.7917
0.0000 0.5000 0.0000
0.5000 0.5000 0.0000
```

## Properties
Raw total energy   -1.738 eV/atom
Magnetic moment   0.00 μB per cell
V   22.012 A^3/atom

---

Record 8
A plane-wave DFT calculation with PBE was carried out for an optimized crystal structure of YCd8Ag2.

Cell and atoms, written as POSCAR:
```
YCd8Ag2
1.0
5.2513 0.8168 0.0000
1.3916 8.0349 0.0000
0.6958 4.0174 6.3279
Y Cd Ag
1 8 2
direct
0.5000 0.0000 0.0000
0.8691 0.0851 0.2346
0.8691 0.3197 0.7654
0.3046 0.4018 0.0000
0.5000 0.7528 0.4945
0.5000 0.2472 0.5055
0.6954 0.5982 0.0000
0.1309 0.6803 0.2346
0.1309 0.9149 0.7654
0.0000 0.3080 0.3839
0.0000 0.6920 0.6161
```

## Properties
Raw total energy   -1.777 eV/atom
Magnetic moment   0.00 μB per cell
V   23.618 A^3/atom

---

Record 9
A plane-wave DFT calculation with PBE was carried out for an optimized crystal structure of YCd6Ag2.

Cell and atoms, written as POSCAR:
```
YCd6Ag2
1.0
4.8312 -0.0001 0.0002
0.0001 8.8241 3.4613
-0.0004 -0.4104 9.4698
Y Cd Ag
2 12 4
direct
0.2500 0.2074 0.7926
0.7500 0.7926 0.2074
0.2500 0.7372 0.4488
0.2500 0.5512 0.2628
0.7500 0.2628 0.5512
0.7500 0.4488 0.7372
0.7500 0.0476 0.3752
0.7500 0.6248 0.9524
0.2500 0.9524 0.6248
0.2500 0.3752 0.0476
0.2500 0.8192 0.9704
0.2500 0.0296 0.1808
0.7500 0.1808 0.0296
0.7500 0.9704 0.8192
0.2500 0.6073 0.7648
0.2500 0.2352 0.3927
0.7500 0.3927 0.2352
0.7500 0.7648 0.6073
```

## Properties
Raw total energy   -2.069 eV/atom
Energy relative to the lowest polymorph listed for this composition   0 meV/atom
Magnetic moment   0.00 μB per cell
V   22.809 A^3/atom

---

Record 10
A plane-wave DFT calculation with PBE was carried out for an optimized crystal structure of Y2Cd2Ag.

Cell and atoms, written as POSCAR:
```
Y2Cd2Ag
1.0
3.4582 0.0000 0.0000
0.0000 4.6922 0.8891
0.0000 0.9553 7.7850
Y Cd Ag
2 2 1
direct
0.5000 0.3864 0.2271
0.5000 0.6136 0.7729
0.0000 0.1962 0.6076
0.0000 0.8038 0.3924
0.0000 0.0000 0.0000
```

## Properties
Raw total energy   -3.748 eV/atom
Energy relative to the lowest polymorph listed for this composition   0 meV/atom
Magnetic moment   0.00 μB per cell
V   24.678 A^3/atom

---

Record 11
A plane-wave DFT calculation with PBE was carried out for an optimized crystal structure of YCd8Ag6.

Cell and atoms, written as POSCAR:
```
YCd8Ag6
1.0
-0.3942 1.4481 -8.0284
-6.7823 -1.8539 -4.1558
-4.4653 5.1027 -3.0148
Y Cd Ag
1 8 6
direct
0.0000 0.0000 0.0000
0.5657 0.1924 0.3796
0.8076 0.1377 0.6204
0.1377 0.4343 0.6204
0.7331 0.7331 0.8006
0.2669 0.2669 0.1994
0.8623 0.5657 0.3796
0.1924 0.8623 0.3796
0.4343 0.8076 0.6204
0.3761 0.0823 0.8740
0.9177 0.3325 0.1260
0.3325 0.6239 0.1260
0.6675 0.3761 0.8740
0.0823 0.6675 0.8740
0.6239 0.9177 0.1260
```

## Properties
Raw total energy   -2.099 eV/atom
Magnetic moment   0.00 μB per cell
V   22.067 A^3/atom

---

Record 12
A plane-wave DFT calculation with PBE was carried out for an optimized crystal structure of Y2Cd4Ag.

Cell and atoms, written as POSCAR:
```
Y2Cd4Ag
1.0
-2.0210 -4.4190 -0.3863
1.8870 -3.7574 2.4663
-4.9674 -3.7164 7.6673
Y Cd Ag
2 4 1
direct
0.8573 0.8573 0.7151
0.1427 0.1427 0.2849
0.6505 0.6505 0.5244
0.3495 0.3495 0.4756
0.5992 0.5992 0.1008
0.4008 0.4008 0.8992
0.0000 0.0000 0.0000
```

## Properties
Raw total energy   -3.050 eV/atom
Magnetic moment   0.00 μB per cell
V   23.956 A^3/atom

---

The highest V belongs to which entry? number 5

---

Which value of raw total energy does entry 12 give? -3.050 eV/atom